[1]
First-principles (PBE) data for Mg2ScCo2 after structural relaxation, as listed in Alexandria via LeMat-Bulk.

The structure belongs to space group P4/mbm (No. 127); the cell edges are 7.091, 7.091 and 3.162 Å and the angles 90.00°, 90.00° and 90.00°. The distinct sites, in fractional coordinates, are Mg at (0.145, 0.355, 0.000), Sc at (0.000, 0.000, 0.500) and Co at (0.153, 0.653, 0.500).

The energy above the most stable polymorph in this dataset comes out at 0 meV per atom. Its crystal system is tetragonal. Its energy of formation from the pure elements is 67 meV/atom.

---

[2]
First-principles (PBE) data for ZrRe2Cl after structural relaxation, as listed in Alexandria via LeMat-Bulk.

The structure belongs to space group P4mm (No. 99); the cell edges are 3.050, 3.050 and 9.231 Å and the angles 90.00°, 90.00° and 90.00°. The distinct sites, in fractional coordinates, are Zr at (0.000, 0.000, 0.000), Re at (0.000, 0.000, 0.620), Re at (0.500, 0.500, 0.767) and Cl at (0.500, 0.500, 0.185).

The formation energy (no corrections) is -0.088 eV/atom. The energy above the most stable polymorph in this dataset comes out at 37 meV per atom. Its crystal system is tetragonal.

---

[3]
First-principles (PBE) data for Pm5PrCd6 after structural relaxation, as listed in Alexandria via LeMat-Bulk.

The structure belongs to space group P2/m (No. 10); the cell edges are 5.415, 7.720 and 8.563 Å and the angles 90.00°, 108.33° and 90.00°. The distinct sites, in fractional coordinates, are Pm at (0.000, 0.000, 0.000), Pm at (0.333, 0.500, 0.666), Pm at (0.334, 0.000, 0.668), Pr at (0.000, 0.500, 0.000), Cd at (0.168, 0.248, 0.336) and Cd at (0.500, 0.247, 0.000).

Its crystal system is monoclinic. Its energy of formation from the pure elements is -319 meV/atom.

---

[4]
First-principles (PBE) data for Pm4Pr6Th after structural relaxation, as listed in Alexandria via LeMat-Bulk.

The structure belongs to space group Cmcm (No. 63); the cell edges are 6.018, 9.823 and 26.217 Å and the angles 90.00°, 90.00° and 90.00°. The distinct sites, in fractional coordinates, are Pm at (0.000, 0.055, 0.123), Pm at (0.000, 0.353, 0.043), Pr at (0.000, 0.000, 0.000), Pr at (0.000, 0.062, 0.250), Pr at (0.000, 0.294, 0.602), Pr at (0.000, 0.389, 0.182) and Th at (0.000, 0.280, 0.750).

Its crystal system is orthorhombic. Its energy of formation from the pure elements is 132 meV/atom.

---

Taking the records one at a time from the top gives magnetic moment values of 0.0, 0.0, 2.5, 0.0 μB/cell.
Taking the records one at a time from the top gives energy values of -23.4, -35.6, -37.9, -53.6 eV per formula unit.
Taking the records one at a time from the top gives calculated volume values of 15.90, 21.47, 28.32, 35.23 Å³ per atom.